# Sr2Cd2Pt (GGA-PBE, relaxed)
data_Sr2Cd2Pt
_chemical_formula_sum 'Sr4 Cd4 Pt2'
_cell_length_a 6.299
_cell_length_b 6.299
_cell_length_c 8.011
_cell_angle_alpha 90.00
_cell_angle_beta 90.00
_cell_angle_gamma 90.00
_symmetry_space_group_name_H-M 'I 4/m m m'
_symmetry_Int_Tables_number 139
_symmetry_space_group_name_Hall '-I 4 2'
loop_
_atom_site_label
_atom_site_type_symbol
_atom_site_fract_x
_atom_site_fract_y
_atom_site_fract_z
Sr1 Sr 0.000 0.500 0.250
Cd1 Cd 0.000 0.000 0.167
Pt1 Pt 0.000 0.000 0.500
# - offset from the most stable computed form (meV per atom) = 366

# SrCd4Pt (GGA-PBE, relaxed)
data_SrCd4Pt
_chemical_formula_sum 'Sr4 Cd16 Pt4'
_cell_length_a 8.150
_cell_length_b 8.150
_cell_length_c 8.150
_cell_angle_alpha 90.00
_cell_angle_beta 90.00
_cell_angle_gamma 90.00
_symmetry_space_group_name_H-M 'F -4 3 m'
_symmetry_Int_Tables_number 216
_symmetry_space_group_name_Hall 'F -4 2 3'
loop_
_atom_site_label
_atom_site_type_symbol
_atom_site_fract_x
_atom_site_fract_y
_atom_site_fract_z
Sr1 Sr 0.000 0.000 0.000
Cd1 Cd 0.124 0.124 0.624
Pt1 Pt 0.250 0.250 0.250
# - offset from the most stable computed form (meV per atom) = 192

Material: Sr5CdPt2
Method: DFT, GGA-PBE
State: relaxed

The structure in CIF format:
```
data_Sr5CdPt2
_chemical_formula_sum 'Sr20 Cd4 Pt8'
_cell_length_a 8.345
_cell_length_b 8.345
_cell_length_c 15.524
_cell_angle_alpha 90.00
_cell_angle_beta 90.00
_cell_angle_gamma 90.00
_symmetry_space_group_name_H-M 'I 4/m c m'
_symmetry_Int_Tables_number 140
_symmetry_space_group_name_Hall '-I 4 2c'
loop_
_atom_site_label
_atom_site_type_symbol
_atom_site_fract_x
_atom_site_fract_y
_atom_site_fract_z
Sr1 Sr 0.000 0.000 0.000
Sr2 Sr 0.166 0.334 0.131
Cd1 Cd 0.000 0.000 0.250
Pt1 Pt 0.129 0.371 0.500
```

Material: Sr2Cd5Pt3
Method: DFT, GGA-PBE
State: relaxed

The structure in CIF format:
```
data_Sr2Cd5Pt3
_chemical_formula_sum 'Sr8 Cd20 Pt12'
_cell_length_a 4.619
_cell_length_b 26.885
_cell_length_c 7.573
_cell_angle_alpha 90.00
_cell_angle_beta 90.00
_cell_angle_gamma 90.00
_symmetry_space_group_name_H-M 'C m c 21'
_symmetry_Int_Tables_number 36
loop_
_symmetry_equiv_pos_as_xyz
'x,y,z'
'-x,-y,z+1/2'
'-x,y,z'
'x,-y,z+1/2'
'x+1/2,y+1/2,z'
'-x+1/2,-y+1/2,z+1/2'
'-x+1/2,y+1/2,z'
'x+1/2,-y+1/2,z+1/2'
loop_
_atom_site_label
_atom_site_type_symbol
_atom_site_fract_x
_atom_site_fract_y
_atom_site_fract_z
Sr1 Sr 0.000 0.024 0.000
Sr2 Sr 0.000 0.324 0.930
Cd1 Cd 0.000 0.101 0.629
Cd2 Cd 0.000 0.207 0.125
Cd3 Cd 0.000 0.208 0.732
Cd4 Cd 0.000 0.374 0.477
Cd5 Cd 0.000 0.447 0.830
Pt1 Pt 0.000 0.111 0.253
Pt2 Pt 0.000 0.268 0.427
Pt3 Pt 0.000 0.453 0.215
```

Material: Sr6Cd2Pt
Method: DFT, GGA-PBE
State: relaxed

The structure in CIF format:
```
data_Sr6Cd2Pt
_chemical_formula_sum 'Sr12 Cd4 Pt2'
_cell_length_a 7.534
_cell_length_b 8.816
_cell_length_c 13.494
_cell_angle_alpha 90.00
_cell_angle_beta 123.84
_cell_angle_gamma 90.00
_symmetry_space_group_name_H-M 'P 1 21/c 1'
_symmetry_Int_Tables_number 14
loop_
_symmetry_equiv_pos_as_xyz
'x,y,z'
'-x,-y,-z'
'-x,y+1/2,-z+1/2'
'x,-y+1/2,z+1/2'
loop_
_atom_site_label
_atom_site_type_symbol
_atom_site_fract_x
_atom_site_fract_y
_atom_site_fract_z
Sr1 Sr 0.110 0.170 0.443
Sr2 Sr 0.289 0.693 0.442
Sr3 Sr 0.374 0.029 0.249
Cd1 Cd 0.198 0.115 0.754
Pt1 Pt 0.500 0.000 0.500
```

Material: Sr2Cd5Pt5
Method: DFT, GGA-PBE
State: relaxed

The structure in CIF format:
```
data_Sr2Cd5Pt5
_chemical_formula_sum 'Sr2 Cd5 Pt5'
_cell_length_a 4.488
_cell_length_b 5.802
_cell_length_c 9.996
_cell_angle_alpha 90.00
_cell_angle_beta 90.00
_cell_angle_gamma 90.00
_symmetry_space_group_name_H-M 'P m m m'
_symmetry_Int_Tables_number 47
loop_
_symmetry_equiv_pos_as_xyz
'x,y,z'
'-x,-y,-z'
'-x,-y,z'
'x,y,-z'
'x,-y,-z'
'-x,y,z'
'-x,y,-z'
'x,-y,z'
loop_
_atom_site_label
_atom_site_type_symbol
_atom_site_fract_x
_atom_site_fract_y
_atom_site_fract_z
Sr1 Sr 0.000 0.000 0.000
Sr2 Sr 0.000 0.500 0.500
Cd1 Cd 0.000 0.000 0.322
Cd2 Cd 0.000 0.500 0.167
Cd3 Cd 0.500 0.000 0.500
Pt1 Pt 0.500 0.251 0.246
Pt2 Pt 0.500 0.500 0.000
```

Material: Sr3Cd3Pt2
Method: DFT, GGA-PBE
State: relaxed

The structure in CIF format:
```
data_Sr3Cd3Pt2
_chemical_formula_sum 'Sr12 Cd12 Pt8'
_cell_length_a 4.440
_cell_length_b 11.419
_cell_length_c 17.544
_cell_angle_alpha 90.00
_cell_angle_beta 90.00
_cell_angle_gamma 90.00
_symmetry_space_group_name_H-M 'C m c m'
_symmetry_Int_Tables_number 63
_symmetry_space_group_name_Hall '-C 2c 2'
loop_
_atom_site_label
_atom_site_type_symbol
_atom_site_fract_x
_atom_site_fract_y
_atom_site_fract_z
Sr1 Sr 0.000 0.060 0.107
Sr2 Sr 0.000 0.341 0.250
Cd1 Cd 0.000 0.346 0.032
Cd2 Cd 0.000 0.367 0.750
Pt1 Pt 0.000 0.231 0.618
```

Material: Sr6CdPt3
Method: DFT, GGA-PBE
State: relaxed

The structure in CIF format:
```
data_Sr6CdPt3
_chemical_formula_sum 'Sr12 Cd2 Pt6'
_cell_length_a 10.679
_cell_length_b 4.423
_cell_length_c 15.817
_cell_angle_alpha 90.00
_cell_angle_beta 108.95
_cell_angle_gamma 90.00
_symmetry_space_group_name_H-M 'P 1 21/m 1'
_symmetry_Int_Tables_number 11
loop_
_symmetry_equiv_pos_as_xyz
'x,y,z'
'-x,-y,-z'
'-x,y+1/2,-z'
'x,-y+1/2,z'
loop_
_atom_site_label
_atom_site_type_symbol
_atom_site_fract_x
_atom_site_fract_y
_atom_site_fract_z
Sr1 Sr 0.003 0.250 0.342
Sr2 Sr 0.076 0.250 0.107
Sr3 Sr 0.257 0.250 0.593
Sr4 Sr 0.302 0.250 0.940
Sr5 Sr 0.352 0.750 0.424
Sr6 Sr 0.413 0.750 0.203
Cd1 Cd 0.341 0.750 0.772
Pt1 Pt 0.072 0.750 0.477
Pt2 Pt 0.197 0.750 0.028
Pt3 Pt 0.488 0.750 0.645
```

Material: Sr2CdPt
Method: DFT, GGA-PBE
State: relaxed

The structure in CIF format:
```
data_Sr2CdPt
_chemical_formula_sum 'Sr2 Cd1 Pt1'
_cell_length_a 3.819
_cell_length_b 3.819
_cell_length_c 7.938
_cell_angle_alpha 90.00
_cell_angle_beta 90.00
_cell_angle_gamma 90.00
_symmetry_space_group_name_H-M 'P 4/m m m'
_symmetry_Int_Tables_number 123
_symmetry_space_group_name_Hall '-P 4 2'
loop_
_atom_site_label
_atom_site_type_symbol
_atom_site_fract_x
_atom_site_fract_y
_atom_site_fract_z
Sr1 Sr 0.000 0.000 0.220
Cd1 Cd 0.500 0.500 0.500
Pt1 Pt 0.500 0.500 0.000
```

Material: Sr4Cd2Pt
Method: DFT, GGA-PBE
State: relaxed

The structure in CIF format:
```
data_Sr4Cd2Pt
_chemical_formula_sum 'Sr8 Cd4 Pt2'
_cell_length_a 5.792
_cell_length_b 5.792
_cell_length_c 17.058
_cell_angle_alpha 90.00
_cell_angle_beta 90.00
_cell_angle_gamma 90.00
_symmetry_space_group_name_H-M 'I 4/m m m'
_symmetry_Int_Tables_number 139
_symmetry_space_group_name_Hall '-I 4 2'
loop_
_atom_site_label
_atom_site_type_symbol
_atom_site_fract_x
_atom_site_fract_y
_atom_site_fract_z
Sr1 Sr 0.000 0.000 0.178
Sr2 Sr 0.000 0.500 0.000
Cd1 Cd 0.000 0.000 0.378
Pt1 Pt 0.000 0.000 0.000
```

Material: Sr3Cd2Pt7
Method: DFT, GGA-PBE
State: relaxed

The structure in CIF format:
```
data_Sr3Cd2Pt7
_chemical_formula_sum 'Sr9 Cd6 Pt21'
_cell_length_a 5.6654
_cell_length_b 5.6654
_cell_length_c 26.8323
_cell_angle_alpha 90.00
_cell_angle_beta 90.00
_cell_angle_gamma 120.00
_symmetry_space_group_name_H-M 'R -3 m'
_symmetry_Int_Tables_number 166
_symmetry_space_group_name_Hall '-R 3 2"'
loop_
_atom_site_label
_atom_site_type_symbol
_atom_site_fract_x
_atom_site_fract_y
_atom_site_fract_z
Sr1 Sr 0.0000 0.0000 0.0000
Sr2 Sr 0.0000 0.0000 0.1404
Cd1 Cd 0.0000 0.0000 0.3338
Pt1 Pt 0.0000 0.0000 0.5000
Pt2 Pt 0.0028 0.5014 0.9155
```

Material: Sr2CdPt
Method: DFT, GGA-PBE
State: relaxed

The structure in CIF format:
```
data_Sr2CdPt
_chemical_formula_sum 'Sr2 Cd1 Pt1'
_cell_length_a 4.564
_cell_length_b 4.564
_cell_length_c 6.382
_cell_angle_alpha 90.00
_cell_angle_beta 90.00
_cell_angle_gamma 90.00
_symmetry_space_group_name_H-M 'P 4 m m'
_symmetry_Int_Tables_number 99
loop_
_symmetry_equiv_pos_as_xyz
'x,y,z'
'-y,x,z'
'-x,-y,z'
'y,-x,z'
'-x,y,z'
'y,x,z'
'x,-y,z'
'-y,-x,z'
loop_
_atom_site_label
_atom_site_type_symbol
_atom_site_fract_x
_atom_site_fract_y
_atom_site_fract_z
Sr1 Sr 0.000 0.000 0.000
Sr2 Sr 0.500 0.500 0.488
Cd1 Cd 0.000 0.000 0.502
Pt1 Pt 0.500 0.500 0.990
```

The calculation returns the following calculated volume values, one per record and in order: 31.8; 22.6; 33.8; 23.5; 41.4; 21.7; 27.8; 35.3; 28.9; 40.9; 20.7; 33.2 Å³ per atom.
The calculation returns the following DFT formation energy values, one per record and in order: -16.4; -17.8; -58.8; -48.5; -36.4; -46.8; -56.0; -56.8; -52.3; -34.0; -68.4; -29.4 kJ per mole of atoms.
The calculation returns the following E_tot values, one per record and in order: -2.42; -2.08; -3.28; -3.11; -2.37; -3.66; -3.06; -3.50; -3.12; -2.44; -4.81; -2.88 eV per atom.